1.
DFT (SCAN) results for a crystal of BaHgP relaxed with PBEsol.

a b c (Å): 3.810 3.810 6.104
angles (deg): 108.19 108.19 90.00
Element x y z (fractional)
P  0.693  0.693  0.386
Hg  0.305  0.305  0.611
Ba  0.001  0.001  0.003

DOS(E_F)   2.0 states/eV/f.u.
Symmetry   I4mm (107)
Calculated formation energy   -37.6 kJ/mol of atoms


2.
DFT (SCAN) results for a crystal of Ta2MnReN relaxed with PBEsol.

a b c (Å): 3.989 4.174 4.174
angles (deg): 90.00 90.00 90.00
Element x y z (fractional)
Ta  0.000  0.000  0.500
Ta  0.000  0.500  0.000
N  0.000  0.000  0.000
Mn  0.500  0.500  0.500
Re  0.500  0.000  0.000

DOS(E_F)   3.2 states/eV/f.u.
Electronic total energy   -46.6532 eV/atom
Symmetry   P4/mmm (123)


3.
DFT (SCAN) results for a crystal of ZrNi2Ru relaxed with PBEsol.

a b c (Å): 3.789 3.789 4.608
angles (deg): 114.27 114.27 90.00
Element x y z (fractional)
Zr  0.500  0.500  0.000
Ni  0.750  0.250  0.500
Ni  0.250  0.750  0.500
Ru  0.000  0.000  0.000

DOS(E_F)   3.5 states/eV/f.u.
Symmetry   I4/mmm (139)
Calculated formation energy   -27.9 kJ/mol of atoms


4.
DFT (SCAN) results for a crystal of Zn2Ir relaxed with PBEsol.

a b c (Å): 2.791 5.020 6.271
angles (deg): 103.72 90.00 106.14
Element x y z (fractional)
Zn  0.336  0.672  0.669
Zn  0.058  0.117  0.609
Zn  0.719  0.439  0.950
Zn  0.387  0.774  0.271
Ir  0.668  0.335  0.339
Ir  0.998  0.996  0.996

DOS(E_F)   1.0 states/eV/f.u.
Symmetry   Cm (8)
Calculated formation energy   -18.8 kJ/mol of atoms


5.
DFT (SCAN) results for a crystal of Mg2BeFe relaxed with PBEsol.

a b c (Å): 5.126 5.519 5.519
angles (deg): 77.54 62.33 62.33
Element x y z (fractional)
Mg  0.375  0.483  0.017
Mg  0.875  0.517  0.983
Mg  0.608  0.017  0.517
Mg  0.142  0.983  0.483
Be  0.250  0.500  0.500
Be  0.500  0.000  0.000
Fe  0.000  0.000  0.000
Fe  0.750  0.500  0.500

DOS(E_F)   1.7 states/eV/f.u.
Symmetry   I-42d (122)
Calculated formation energy   62.1 kJ/mol of atoms


6.
DFT (SCAN) results for a crystal of AlReI2 relaxed with PBEsol.

a b c (Å): 4.859 4.859 4.859
angles (deg): 60.00 60.00 60.00
Element x y z (fractional)
I  0.250  0.250  0.250
I  0.750  0.750  0.750
Re  0.500  0.500  0.500
Al  0.000  0.000  0.000

DOS(E_F)   3.6 states/eV/f.u.
Electronic total energy   -36.6420 eV/atom
Symmetry   Fm-3m (225)


- What is the DOS(E_F) in the third record?
  3.5 states/eV/f.u.


- What is the DOS(E_F) in the first record?
  2.0 states/eV/f.u.


- What is the DOS(E_F) in the sixth record?
  3.6 states/eV/f.u.


- What is the formula in the sixth record?
  AlReI2